--- i ---
Below is SrYTe3 after structural relaxation, with properties calculated at the PBE level.

Output
The density of states at the Fermi level comes out at 0.674 states/eV per atom. The space group is Pm-3m. The value obtained for the magnetic moment is 0.00 μB per cell. Its crystal system is cubic.

Lattice parameters (Å, degrees): 5.851 5.851 5.851 90.00 90.00 90.00
Element x y z (fractional)
Y  0.000  0.000  0.000
Sr  0.500  0.500  0.500
Te  0.000  0.500  0.000
Te  0.000  0.000  0.500
Te  0.500  0.000  0.000


--- ii ---
Below is SrYTe3 after structural relaxation, with properties calculated at the PBE level.

Output
The density of states at the Fermi level comes out at 1.693 states/eV per atom. The space group is Pm-3m. The value obtained for the magnetic moment is 0.00 μB per cell. Its crystal system is cubic.

Lattice parameters (Å, degrees): 5.929 5.929 5.929 90.00 90.00 90.00
Element x y z (fractional)
Y  0.500  0.500  0.500
Sr  0.000  0.000  0.000
Te  0.000  0.500  0.000
Te  0.000  0.000  0.500
Te  0.500  0.000  0.000


Stability comparison, relative energies in meV per atom: i 0; ii 874